10
Lattice="3.972 0.000 0.000 0.000 3.972 0.000 0.000 0.000 10.961" Properties=species:S:1:pos:R:3 comment="PBE Tb2Ga3Cu4Pt, optimized geometry" delta_e_f_ev_per_atom=-0.46 crystal_system=tetragonal e_tot_ev_per_atom=-4.54 dos_ef_per_ev_fu=5.55 pbc="T T T"
Ga 0.000 1.986 1.455
Tb 1.986 0.000 2.802
Tb 0.000 1.986 8.158
Cu 0.000 0.000 0.000
Pt 1.986 1.986 5.480
Cu 0.000 1.986 3.851
Ga 1.986 0.000 9.506
Cu 1.986 0.000 7.109
Ga 0.000 0.000 5.480
Cu 1.986 1.986 0.000